A plane-wave DFT calculation with PBE-GGA was carried out for TlCdMo2 after structural relaxation.

Values from the calculation:
- Formation energy: 0.553 eV per atom
- V: 19.47 A^3/atom
- Symmetry: Imm2, No. 44
- Magnetization: 0.0 μB per cell

a = 5.620 Å, b = 5.620 Å, c = 5.620 Å
α = 145.55°, β = 128.36°, γ = 63.56°
Positions (direct):
1 Tl 0.000 0.000 0.000
2 Cd 0.273 0.773 0.500
3 Mo 0.541 0.541 0.000
4 Mo 0.733 0.233 0.500



A plane-wave DFT calculation with PBE-GGA was carried out for TlCd2Mo after structural relaxation.

Values from the calculation:
- Formation energy: 0.551 eV per atom
- V: 20.64 A^3/atom
- Symmetry: Pmm2, No. 25
- Magnetization: 0.4 μB per cell

a = 3.059 Å, b = 4.348 Å, c = 6.206 Å
α = 90.00°, β = 90.00°, γ = 90.00°
Positions (direct):
1 Tl 0.000 0.000 0.000
2 Cd 0.000 0.000 0.528
3 Cd 0.500 0.500 0.288
4 Mo 0.500 0.500 0.770



A plane-wave DFT calculation with PBE-GGA was carried out for Tl2CdMo after structural relaxation.

Values from the calculation:
- Formation energy: 0.662 eV per atom
- V: 21.72 A^3/atom
- Symmetry: Cmmm, No. 65
- Magnetization: 1.1 μB per cell

a = 5.378 Å, b = 5.378 Å, c = 3.152 Å
α = 90.00°, β = 90.00°, γ = 107.68°
Positions (direct):
1 Tl 0.000 0.500 0.000
2 Tl 0.500 0.000 0.000
3 Cd 0.000 0.000 0.500
4 Mo 0.500 0.500 0.500



A plane-wave DFT calculation with PBE-GGA was carried out for TlCd2Mo after structural relaxation.

Values from the calculation:
- Formation energy: 0.404 eV per atom
- V: 21.77 A^3/atom
- Symmetry: Cmmm, No. 65
- Magnetization: 0.0 μB per cell

a = 2.980 Å, b = 2.980 Å, c = 9.804 Å
α = 90.00°, β = 90.00°, γ = 91.13°
Positions (direct):
1 Tl 0.000 0.000 0.000
2 Cd 0.500 0.500 0.286
3 Cd 0.500 0.500 0.714
4 Mo 0.000 0.000 0.500



In order of appearance, energy above the most stable polymorph in this dataset = 144; 147; 150; 0 meV/atom.